Np2Ti2S7: optimized geometry, PBE. Values from VASP.

Output
Uncorrected formation energy: -13.474 eV per formula unit
VASP energy: -7.640 eV per atom

Geometry as Quantum ESPRESSO input:
```
&SYSTEM
  ibrav = 0, nat = 11, ntyp = 3
/
ATOMIC_SPECIES
S 32.06 S.upf
Ti 47.87 Ti.upf
Np 237.00 Np.upf
CELL_PARAMETERS angstrom
-3.060 5.694 -1.117
-1.416 -2.480 -6.364
-4.537 -1.942 4.930
ATOMIC_POSITIONS crystal
S 0.713 0.388 0.041
S 0.233 0.416 0.416
Ti 0.885 0.272 0.272
S 0.287 0.959 0.612
Ti 0.115 0.728 0.728
S 0.000 0.000 0.000
S 0.287 0.612 0.959
Np 0.500 0.676 0.324
S 0.713 0.041 0.388
S 0.767 0.584 0.584
Np 0.500 0.324 0.676
```